The following is a DFT calculation (PBE) of a relaxed Y2CuRh crystal.

Lattice parameters (Å, degrees): 6.928 6.928 6.928 90.00 90.00 90.00
Space group Fm-3m (No. 225)
Inequivalent atoms, fractional coordinates:
Y1 0.250 0.250 0.250 (multiplicity 8)
Cu1 0.000 0.000 0.000 (multiplicity 4)
Rh1 0.000 0.000 0.500 (multiplicity 4)

**DFT formation energy**: -0.553 eV/atom